Entry 1:
Computed, not measured: a geometry-optimized Na2B3C structure at the PBE level of DFT.

Lattice parameters (Å, degrees): 14.5827 5.0557 10.3870 90.00 124.08 90.00
With the nearest neighbours (Å) after each atom.
Space group C2 (No. 5)
One atom of each set of equivalent atoms:
Na (0.9996, 0.9999, 0.2492) (multiplicity 4)  9 B 2.69-2.78, 3 C 2.72-2.75, 6 Na 2.91-2.93
Na (0.0982, 0.5000, 0.2451) (multiplicity 4)  9 B 2.70-2.79, 3 C 2.71-2.79, 6 Na 2.91-2.93
Na (0.1007, 0.5023, 0.7506) (multiplicity 4)  10 B 2.67-2.84, 2 C 2.72-2.73, 6 Na 2.90-2.93
Na (0.1988, 0.9988, 0.2476) (multiplicity 4)  8 B 2.67-2.77, 4 C 2.71-2.76, 6 Na 2.91-2.93
Na (0.1996, 0.0005, 0.7505) (multiplicity 4)  9 B 2.67-2.78, 3 C 2.73-2.74, 6 Na 2.90-2.93
B (0.0000, 0.1470, 0.0000) (multiplicity 2)  1 C 1.57
B (0.0000, 0.1800, 0.5000) (multiplicity 2)  3 B 1.74-1.77
B (0.0000, 0.8307, 0.5000) (multiplicity 2)  3 B 1.69-1.77
B (0.1015, 0.3365, 0.0005) (multiplicity 4)  3 B 1.73-1.77
B (0.1009, 0.6678, 0.4996) (multiplicity 4)  3 B 1.69-1.76
B (0.1011, 0.6783, 0.0004) (multiplicity 4)  2 C 1.65-1.68, 1 B 1.73
B (0.1087, 0.3203, 0.5000) (multiplicity 4)  1 C 1.58, 2 B 1.74-1.76
B (0.2049, 0.1559, 0.0001) (multiplicity 4)  2 C 1.63-1.65, 1 B 1.77
B (0.2060, 0.8399, 0.4999) (multiplicity 4)  2 C 1.62, 1 B 1.76
C (0.0000, 0.8372, 0.0000) (multiplicity 2)  3 B 1.57-1.68
C (0.2003, 0.8343, 0.0007) (multiplicity 4)  3 B 1.63-1.65
C (0.2023, 0.1604, 0.5004) (multiplicity 4)  3 B 1.58-1.62

Summary:
E_tot = -308.3 eV per cell
E above lowest polymorph = 45 meV per atom
Energy of formation from the pure elements = 0.18 eV/atom

Entry 2:
Computed, not measured: a geometry-optimized Na5B8C2 structure at the PBE level of DFT.

Lattice parameters (Å, degrees): 23.3036 2.8486 10.1042 90.00 106.22 90.00
With the nearest neighbours (Å) after each atom.
Space group Cm (No. 8)
One atom of each set of equivalent atoms:
Na (0.0000, 0.0000, 0.0000) (multiplicity 2)  10 B 2.69-2.85, 2 C 2.71, 4 Na 2.85-2.97
Na (0.0002, 0.5000, 0.4956) (multiplicity 2)  11 B 2.70-2.89, 1 C 2.77, 6 Na 2.85-3.00
Na (0.0989, 0.5000, 0.2003) (multiplicity 2)  10 B 2.70-2.87, 2 C 2.76-2.80, 6 Na 2.85-2.98
Na (0.0999, 0.0000, 0.6991) (multiplicity 2)  10 B 2.68-2.85, 2 C 2.74, 6 Na 2.85-3.00
Na (0.1988, 0.0000, 0.3996) (multiplicity 2)  8 B 2.65-2.76, 4 C 2.73-2.76, 2 Na 2.85
Na (0.1996, 0.5000, 0.8975) (multiplicity 2)  8 B 2.67-2.76, 4 C 2.69-2.77, 6 Na 2.85-2.97
Na (0.2989, 0.5000, 0.5969) (multiplicity 2)  9 B 2.69-2.91, 3 C 2.71-2.73, 6 Na 2.85-2.99
Na (0.3003, 0.0000, 0.0929) (multiplicity 2)  9 B 2.67-2.81, 3 C 2.76-2.78, 4 Na 2.85-2.97
Na (0.3985, 0.0000, 0.7987) (multiplicity 2)  11 B 2.69-2.89, 1 C 2.81, 4 Na 2.85-2.99
Na (0.3994, 0.5000, 0.2963) (multiplicity 2)  10 B 2.69-2.90, 2 C 2.71, 6 Na 2.85-2.99
B (0.0135, 0.0000, 0.2760) (multiplicity 2)  2 C 1.65, 1 B 1.80
B (0.0199, 0.5000, 0.7898) (multiplicity 2)  3 B 1.69-1.75
B (0.0824, 0.0000, 0.4133) (multiplicity 2)  3 B 1.78-1.80
B (0.0846, 0.5000, 0.9182) (multiplicity 2)  3 B 1.69-1.72
B (0.1212, 0.0000, 0.9910) (multiplicity 2)  3 B 1.72-1.73
B (0.1231, 0.5000, 0.4950) (multiplicity 2)  1 C 1.62, 2 B 1.78
B (0.1873, 0.0000, 0.1225) (multiplicity 2)  2 C 1.61, 1 B 1.73
B (0.2158, 0.0000, 0.6810) (multiplicity 2)  3 C 1.64-1.67
B (0.2752, 0.5000, 0.2986) (multiplicity 2)  1 C 1.55
B (0.3101, 0.5000, 0.8693) (multiplicity 2)  2 C 1.64
B (0.3143, 0.0000, 0.3779) (multiplicity 2)  3 B 1.64-1.76
B (0.3770, 0.0000, 0.5028) (multiplicity 2)  3 B 1.64-1.79
B (0.3802, 0.5000, 0.0087) (multiplicity 2)  3 B 1.77-1.84
B (0.4182, 0.5000, 0.5849) (multiplicity 2)  3 B 1.65-1.79
B (0.4203, 0.0000, 0.0891) (multiplicity 2)  1 C 1.62, 2 B 1.77
B (0.4810, 0.5000, 0.7112) (multiplicity 2)  3 B 1.65-1.75
C (0.1847, 0.5000, 0.6184) (multiplicity 2)  3 B 1.62-1.64
C (0.2162, 0.5000, 0.1795) (multiplicity 2)  3 B 1.55-1.61
C (0.2792, 0.0000, 0.8082) (multiplicity 2)  3 B 1.64-1.67
C (0.4821, 0.0000, 0.2128) (multiplicity 2)  3 B 1.62-1.65

Summary:
E_tot = -302.6 eV per cell
E above lowest polymorph = 17 meV per atom
Energy of formation from the pure elements = 0.19 eV/atom

Entry 3:
Computed, not measured: a geometry-optimized Na5B8C2 structure at the PBE level of DFT.

Lattice parameters (Å, degrees): 5.0468 7.7628 9.1303 107.81 90.50 107.66
With the nearest neighbours (Å) after each atom.
Space group P-1 (No. 2)
One atom of each set of equivalent atoms:
Na (0.0000, 0.0000, 0.0000) (multiplicity 1)  10 B 2.71-2.79, 2 C 2.79, 6 Na 2.90-2.96
Na (0.0969, 0.1986, 0.4980) (multiplicity 2)  9 B 2.70-2.79, 3 C 2.73-2.76, 6 Na 2.90-2.97
Na (0.1996, 0.4000, 0.0012) (multiplicity 2)  9 B 2.67-2.80, 3 C 2.74-2.76, 6 Na 2.89-2.97
Na (0.3031, 0.6011, 0.5010) (multiplicity 2)  11 B 2.70-2.87, 1 C 2.75, 6 Na 2.88-2.98
Na (0.4016, 0.8000, 0.9984) (multiplicity 2)  10 B 2.70-2.86, 2 C 2.75, 6 Na 2.89-2.97
Na (0.5000, 0.0000, 0.5000) (multiplicity 1)  8 B 2.69-2.77, 4 C 2.73-2.74, 6 Na 2.90-2.95
B (0.0275, 0.7062, 0.7502) (multiplicity 2)  3 B 1.74-1.80
B (0.0550, 0.4810, 0.7503) (multiplicity 2)  1 C 1.58, 1 B 1.75
B (0.1009, 0.8886, 0.2506) (multiplicity 2)  2 C 1.63, 1 B 1.76
B (0.2838, 0.9140, 0.7495) (multiplicity 2)  1 C 1.61, 2 B 1.74-1.76
B (0.3242, 0.3066, 0.2493) (multiplicity 2)  3 B 1.68-1.75
B (0.3712, 0.0943, 0.2503) (multiplicity 2)  3 B 1.74-1.76
B (0.4097, 0.5001, 0.7510) (multiplicity 2)  3 B 1.68-1.79
B (0.4813, 0.2880, 0.7499) (multiplicity 2)  2 C 1.62-1.63, 1 B 1.79
C (0.1913, 0.7034, 0.2501) (multiplicity 2)  3 B 1.58-1.63
C (0.2189, 0.1045, 0.7488) (multiplicity 2)  3 B 1.61-1.63

Summary:
E_tot = -151.0 eV per cell
E above lowest polymorph = 29 meV per atom
Energy of formation from the pure elements = 0.20 eV/atom

Entry 4:
Computed, not measured: a geometry-optimized Na5B8C2 structure at the PBE level of DFT.

Lattice parameters (Å, degrees): 14.7922 5.0767 9.0747 90.00 109.02 90.00
With the nearest neighbours (Å) after each atom.
Space group C2 (No. 5)
One atom of each set of equivalent atoms:
Na (0.0494, 0.0000, 0.2466) (multiplicity 4)  10 B 2.65-2.77, 2 C 2.73, 6 Na 2.93-2.96
Na (0.0508, 0.5008, 0.7536) (multiplicity 4)  2 C 2.71-2.75, 10 B 2.71-2.77, 6 Na 2.93-2.96
Na (0.1494, 0.5008, 0.2466) (multiplicity 4)  2 C 2.71-2.75, 10 B 2.72-2.77, 6 Na 2.93-2.96
Na (0.1499, 0.0010, 0.7511) (multiplicity 4)  9 B 2.68-2.75, 3 C 2.71-2.72, 6 Na 2.93-2.96
Na (0.2495, 0.0010, 0.2489) (multiplicity 4)  9 B 2.68-2.76, 3 C 2.71-2.72, 6 Na 2.93-2.96
B (0.0000, 0.1712, 0.5000) (multiplicity 2)  3 B 1.68-1.73
B (0.0000, 0.3330, 0.0000) (multiplicity 2)  3 B 1.79
B (0.0000, 0.6853, 0.0000) (multiplicity 2)  2 C 1.68, 1 B 1.79
B (0.0000, 0.8295, 0.5000) (multiplicity 2)  3 B 1.68-1.73
B (0.1000, 0.3298, 0.5003) (multiplicity 4)  3 B 1.68-1.73
B (0.1001, 0.6711, 0.5004) (multiplicity 4)  3 B 1.68-1.73
B (0.1060, 0.1641, 0.0000) (multiplicity 4)  2 C 1.66-1.68, 1 B 1.79
B (0.2002, 0.1715, 0.5005) (multiplicity 4)  3 B 1.68-1.73
B (0.2001, 0.6669, 0.0000) (multiplicity 4)  3 C 1.65-1.72
B (0.2000, 0.8300, 0.5002) (multiplicity 4)  3 B 1.68-1.73
C (0.1014, 0.8341, 0.0000) (multiplicity 4)  3 B 1.68-1.69
C (0.2030, 0.3281, 0.0000) (multiplicity 4)  3 B 1.65-1.72

Summary:
E_tot = -300.8 eV per cell
E above lowest polymorph = 48 meV per atom
Energy of formation from the pure elements = 0.22 eV/atom

Which of these has the lowest E above lowest polymorph? number 2

What is the E_tot in the fourth record? -300.8 eV per cell

Among the records above, which one has the highest E_tot? number 3

Among the records above, which one has the highest E above lowest polymorph? number 4